This record from Alexandria describes a geometry-optimized VIrNO2 structure. The functional is GGA+U.

Calculated values
space-group type: P4/mmm, No. 123
V: 61 Å³/cell
final energy: -6.486 eV/atom

a = 4.0723 Å, b = 4.0723 Å, c = 3.6893 Å
α = 90.00°, β = 90.00°, γ = 90.00°
Closest atoms and distances in Å follow each position.
Positions (direct):
V1 0.0000 0.0000 0.0000  8 O 2.75, 4 N 2.88
Ir1 0.5000 0.5000 0.5000  2 N 1.84, 4 O 2.04
N1 0.5000 0.5000 0.0000  2 Ir 1.84
O1 0.0000 0.5000 0.5000  2 Ir 2.04
O2 0.5000 0.0000 0.5000  2 Ir 2.04